No. 1
# La2AlNi9

Crystalline La2AlNi9 at its relaxed geometry (PBEsol, Alexandria via LeMat-Bulk).

Lattice parameters (Å, degrees): 4.917 4.917 7.940 90.00 90.00 119.38
Sites, in units of the cell vectors:
La  0.000  0.000  0.234
La  0.000  0.000  0.766
Al  0.500  0.500  0.500
Ni  0.000  0.500  0.000
Ni  0.000  0.500  0.500
Ni  0.330  0.670  0.250
Ni  0.330  0.670  0.750
Ni  0.500  0.000  0.000
Ni  0.500  0.000  0.500
Ni  0.500  0.500  0.000
Ni  0.670  0.330  0.250
Ni  0.670  0.330  0.750

Results
Magnetic moment (μB per cell): 0.00
Calculated formation energy (eV per atom): -0.367

No. 2
# LaAlNi4

Crystalline LaAlNi4 at its relaxed geometry (PBEsol, Alexandria via LeMat-Bulk).

Lattice parameters (Å, degrees): 5.111 5.111 3.823 90.00 90.00 120.00
Sites, in units of the cell vectors:
La  0.000  0.000  0.000
Al  0.667  0.333  0.000
Ni  0.006  0.503  0.500
Ni  0.333  0.667  0.000
Ni  0.497  0.503  0.500
Ni  0.497  0.994  0.500

Results
Magnetic moment (μB per cell): 0.00
Calculated formation energy (eV per atom): -0.407
Excess energy over the best structure of this formula in the dataset (meV per atom): 53

No. 3
# La6Al3Ni4SnRu

Crystalline La6Al3Ni4SnRu at its relaxed geometry (PBEsol, Alexandria via LeMat-Bulk).

Lattice parameters (Å, degrees): 9.491 9.491 4.202 90.00 90.00 120.00
Sites, in units of the cell vectors:
La  0.175  0.349  0.000
La  0.175  0.825  0.000
La  0.540  0.080  0.500
La  0.540  0.460  0.500
La  0.651  0.825  0.000
La  0.920  0.460  0.500
Al  0.191  0.096  0.500
Al  0.904  0.096  0.500
Al  0.904  0.809  0.500
Ni  0.000  0.000  0.000
Ni  0.354  0.177  0.000
Ni  0.823  0.177  0.000
Ni  0.823  0.646  0.000
Sn  0.333  0.667  0.500
Ru  0.667  0.333  0.000

Results
Magnetic moment (μB per cell): 0.00
Calculated formation energy (eV per atom): -0.500

No. 4
# La3AlNiS7

Crystalline La3AlNiS7 at its relaxed geometry (PBEsol, Alexandria via LeMat-Bulk).

Lattice parameters (Å, degrees): 10.094 10.094 5.783 90.00 90.00 120.00
Sites, in units of the cell vectors:
La  0.136  0.369  0.000
La  0.232  0.864  0.000
La  0.369  0.232  0.500
La  0.631  0.768  0.000
La  0.768  0.136  0.500
La  0.864  0.631  0.500
Al  0.333  0.667  0.419
Al  0.667  0.333  0.919
Ni  0.000  0.000  0.265
Ni  0.000  0.000  0.765
S  0.082  0.221  0.516
S  0.098  0.583  0.276
S  0.139  0.918  0.516
S  0.221  0.139  0.016
S  0.333  0.667  0.799
S  0.417  0.515  0.276
S  0.485  0.902  0.276
S  0.515  0.098  0.776
S  0.583  0.485  0.776
S  0.667  0.333  0.299
S  0.779  0.861  0.516
S  0.861  0.082  0.016
S  0.902  0.417  0.776
S  0.918  0.779  0.016

Results
E_form (uncorrected) (eV per atom): -1.67
Magnetic moment (μB per cell): 0.00